# Mg3Si4 GGA-PBE relaxed
data_Mg3Si4
_space_group_name_H-M_alt 'P 1 m 1'
_space_group_IT_number 6
_cell_length_a 7.9991
_cell_length_b 3.6404
_cell_length_c 9.6848
_cell_angle_alpha 90.00
_cell_angle_beta 112.64
_cell_angle_gamma 90.00
loop_
_space_group_symop_operation_xyz
'x,y,z'
'x,-y,z'
loop_
_atom_site_label
_atom_site_type_symbol
_atom_site_fract_x
_atom_site_fract_y
_atom_site_fract_z
_atom_site_occupancy
Mg1 Mg 0.0000 0.0000 0.0000 1
Mg2 Mg 0.0280 0.5000 0.5109 1
Mg3 Mg 0.3328 0.5000 0.2294 1
Mg4 Mg 0.3765 0.0000 0.5284 1
Mg5 Mg 0.5112 0.0000 0.0002 1
Mg6 Mg 0.6994 0.0000 0.3233 1
Si1 Si 0.0504 0.0000 0.7340 1
Si2 Si 0.0508 0.0000 0.2861 1
Si3 Si 0.2016 0.5000 0.9035 1
Si4 Si 0.3892 0.5000 0.7592 1
Si5 Si 0.6432 0.5000 0.5119 1
Si6 Si 0.7119 0.5000 0.8787 1
Si7 Si 0.7430 0.0000 0.7074 1
Si8 Si 0.8329 0.5000 0.1572 1
# Energy (eV/atom): -3.687


# SnHAu2S GGA-PBE relaxed
data_SnHAu2S
_space_group_name_H-M_alt 'P 4/m m m'
_space_group_IT_number 123
_space_group_name_Hall '-P 4 2'
_cell_length_a 5.2311
_cell_length_b 5.2311
_cell_length_c 3.1493
_cell_angle_alpha 90.00
_cell_angle_beta 90.00
_cell_angle_gamma 90.00
loop_
_atom_site_label
_atom_site_type_symbol
_atom_site_fract_x
_atom_site_fract_y
_atom_site_fract_z
_atom_site_occupancy
Sn1 Sn 0.0000 0.0000 0.0000 1
H1 H 0.5000 0.5000 0.0000 1
Au1 Au 0.0000 0.5000 0.5000 1
S1 S 0.5000 0.5000 0.5000 1
# Energy (eV/atom): -3.485


# ZrZnCuSn GGA-PBE relaxed
data_ZrZnCuSn
_space_group_name_H-M_alt 'P m m m'
_space_group_IT_number 47
_cell_length_a 4.1254
_cell_length_b 4.1739
_cell_length_c 4.1798
_cell_angle_alpha 90.00
_cell_angle_beta 90.00
_cell_angle_gamma 90.00
loop_
_space_group_symop_operation_xyz
'x,y,z'
'-x,-y,-z'
'-x,-y,z'
'x,y,-z'
'x,-y,-z'
'-x,y,z'
'-x,y,-z'
'x,-y,z'
loop_
_atom_site_label
_atom_site_type_symbol
_atom_site_fract_x
_atom_site_fract_y
_atom_site_fract_z
_atom_site_occupancy
Zr1 Zr 0.0000 0.0000 0.0000 1
Zn1 Zn 0.5000 0.5000 0.0000 1
Cu1 Cu 0.0000 0.5000 0.5000 1
Sn1 Sn 0.5000 0.0000 0.5000 1
# DFT formation energy (kcal/mol of atoms): -6.63
# Energy (eV/atom): -4.768


# LiY2SbPt GGA-PBE relaxed
data_LiY2SbPt
_space_group_name_H-M_alt 'P 4/m m m'
_space_group_IT_number 123
_space_group_name_Hall '-P 4 2'
_cell_length_a 5.3966
_cell_length_b 5.3966
_cell_length_c 4.6257
_cell_angle_alpha 90.00
_cell_angle_beta 90.00
_cell_angle_gamma 90.00
loop_
_atom_site_label
_atom_site_type_symbol
_atom_site_fract_x
_atom_site_fract_y
_atom_site_fract_z
_atom_site_occupancy
Li1 Li 0.0000 0.0000 0.0000 1
Y1 Y 0.0000 0.5000 0.5000 1
Sb1 Sb 0.5000 0.5000 0.0000 1
Pt1 Pt 0.0000 0.0000 0.5000 1
# Energy (eV/atom): -5.621